Model A:
! SiNiAg3, relaxed, DFT PBE-GGA; values from VASP
&SYSTEM
  ibrav = 0, nat = 5, ntyp = 3
/
ATOMIC_SPECIES
Ni 58.69 Ni.upf
Si 28.09 Si.upf
Ag 107.87 Ag.upf
ATOMIC_POSITIONS crystal
Ni 0.500 0.500 0.500
Si 0.000 0.000 0.000
Ag 0.000 0.500 0.000
Ag 0.000 0.000 0.500
Ag 0.500 0.000 0.000
CELL_PARAMETERS angstrom
4.700 0.000 0.000
0.000 4.700 0.000
0.000 0.000 4.700
! **Space group**: Pm-3m

=====

Model B:
! SiNiAg3, relaxed, DFT PBE-GGA; values from VASP
&SYSTEM
  ibrav = 0, nat = 5, ntyp = 3
/
ATOMIC_SPECIES
Ni 58.69 Ni.upf
Si 28.09 Si.upf
Ag 107.87 Ag.upf
ATOMIC_POSITIONS crystal
Ni 0.000 0.000 0.000
Si 0.500 0.500 0.500
Ag 0.000 0.500 0.000
Ag 0.000 0.000 0.500
Ag 0.500 0.000 0.000
CELL_PARAMETERS angstrom
4.750 0.000 0.000
0.000 4.750 0.000
0.000 0.000 4.750
! **Space group**: Pm-3m

=====

Short version: model B is the least stable of them.